1.
PmDyGaSi after structural relaxation. Source: Alexandria via LeMat-Bulk, functional PBE-GGA.

Values from the calculation:
ΔE_f (raw)	-0.487	eV per atom
energy above the lowest structure with this stoichiometry	0.241	eV/atom

Cell lengths 7.190, 7.190, 7.190 Å; angles 90.00, 90.00, 90.00 degrees
Space group F-43m (No. 216)
Asymmetric unit:
Pm 0.000 0.000 0.000 x4
Dy 0.000 0.000 0.500 x4
Ga 0.250 0.250 0.750 x4
Si 0.250 0.250 0.250 x4

2.
TiMnNb after structural relaxation. Source: Alexandria via LeMat-Bulk, functional PBE-GGA.

Values from the calculation:
energy above the lowest structure with this stoichiometry	0.083	eV/atom
formation energy from the elements	-0.13	eV/f.u.

Cell lengths 4.2447, 4.2447, 2.9068 Å; angles 90.00, 90.00, 120.00 degrees
Space group P3m1 (No. 156)
Asymmetric unit:
Ti 0.0000 0.0000 0.0000 x1
Mn 0.6667 0.3333 0.6848 x1
Nb 0.3333 0.6667 0.3906 x1

3.
Tb2Sm8Hg after structural relaxation. Source: Alexandria via LeMat-Bulk, functional PBE-GGA.

Values from the calculation:
formation energy from the elements	0.19	eV/f.u.

Cell lengths 18.010, 5.570, 7.822 Å; angles 90.00, 112.28, 90.00 degrees
Space group C2/m (No. 12)
Asymmetric unit:
Tb 0.190 0.000 0.165 x4
Sm 0.008 0.000 0.254 x4
Sm 0.117 0.500 0.921 x4
Sm 0.156 0.500 0.408 x4
Sm 0.180 0.000 0.714 x4
Hg 0.000 0.500 0.500 x2

4.
Ca2SmYSe4 after structural relaxation. Source: Alexandria via LeMat-Bulk, functional PBE-GGA.

Values from the calculation:
ΔE_f (raw)	-1.890	eV per atom

Cell lengths 7.159, 4.134, 7.293 Å; angles 90.00, 109.12, 90.00 degrees
Space group P2/m (No. 10)
Asymmetric unit:
Ca 0.000 0.000 0.000 x1
Ca 0.500 0.500 0.000 x1
Sm 0.000 0.500 0.500 x1
Y 0.500 0.000 0.500 x1
Se 0.254 0.000 0.751 x2
Se 0.254 0.500 0.252 x2

5.
Pm2DyNi3 after structural relaxation. Source: Alexandria via LeMat-Bulk, functional PBE-GGA.

Values from the calculation:
formation energy from the elements	-1.80	eV/f.u.

Cell lengths 3.436, 3.436, 10.310 Å; angles 90.00, 90.00, 90.00 degrees
Space group P4/mmm (No. 123)
Asymmetric unit:
Pm 0.000 0.000 0.170 x2
Dy 0.000 0.000 0.500 x1
Ni 0.500 0.500 0.000 x1
Ni 0.500 0.500 0.343 x2

6.
AgGePO2 after structural relaxation. Source: Alexandria via LeMat-Bulk, functional PBE-GGA.

Values from the calculation:
ΔE_f (raw)	-0.167	eV per atom
energy above the lowest structure with this stoichiometry	0.051	eV/atom

Cell lengths 3.643, 3.643, 5.210 Å; angles 90.00, 90.00, 90.00 degrees
Space group P4/mmm (No. 123)
Asymmetric unit:
Ag 0.000 0.000 0.000 x1
Ge 0.500 0.500 0.000 x1
P 0.000 0.000 0.500 x1
O 0.000 0.500 0.500 x2

Calculated M_tot (μB per formula unit), listed in the same order as above: 0.00 0.00 0.00 0.00 0.00 0.00
Calculated raw total energy (eV per cell), listed in the same order as above: -79.0 -27.3 -94.3 -44.2 -33.2 -23.6